(1)
Density functional theory data (GGA-PBE) for crystalline Pr12Dy3Sc at its relaxed geometry.

Unit cell a=5.1678 b=5.1678 c=20.6442 alpha=90.00 beta=90.00 gamma=90.00
Fractional coordinates of all 16 atoms:
Pr  0.0000  0.0000  0.0000
Pr  0.0000  0.0000  0.2478
Pr  0.0000  0.0000  0.5000
Pr  0.0000  0.0000  0.7522
Pr  0.0000  0.5000  0.1215
Pr  0.0000  0.5000  0.3738
Pr  0.0000  0.5000  0.6262
Pr  0.0000  0.5000  0.8785
Pr  0.5000  0.0000  0.1215
Pr  0.5000  0.0000  0.3738
Pr  0.5000  0.0000  0.6262
Pr  0.5000  0.0000  0.8785
Dy  0.5000  0.5000  0.2477
Dy  0.5000  0.5000  0.5000
Dy  0.5000  0.5000  0.7523
Sc  0.5000  0.5000  0.0000

Summary:
ΔH_f (0 K)   0.020 eV/atom

***

(2)
Density functional theory data (GGA-PBE) for crystalline MnPbBr at its relaxed geometry.

Unit cell a=3.7122 b=5.9277 c=15.3710 alpha=90.00 beta=90.00 gamma=90.00
Fractional coordinates of all 12 atoms:
Mn  0.0000  0.0000  0.0000
Mn  0.0000  0.5000  0.5000
Mn  0.5000  0.0000  0.5000
Mn  0.5000  0.5000  0.0000
Pb  0.0000  0.0000  0.3508
Pb  0.0000  0.5000  0.8508
Pb  0.5000  0.0000  0.8508
Pb  0.5000  0.5000  0.3508
Br  0.0000  0.0000  0.6121
Br  0.0000  0.5000  0.1121
Br  0.5000  0.0000  0.1121
Br  0.5000  0.5000  0.6121

Summary:
Formation energy without anion corrections   0.00 eV per atom

***

(3)
Density functional theory data (GGA-PBE) for crystalline SrGa2CoAg at its relaxed geometry.

Unit cell a=4.5722 b=4.5722 c=5.1351 alpha=90.00 beta=90.00 gamma=90.00
Fractional coordinates of all 5 atoms:
Sr  0.0000  0.0000  0.0000
Ga  0.0000  0.5000  0.5000
Ga  0.5000  0.0000  0.5000
Co  0.5000  0.5000  0.5000
Ag  0.5000  0.5000  0.0000

Summary:
ΔH_f (0 K)   -0.232 eV/atom

***

(4)
Density functional theory data (GGA-PBE) for crystalline AcPm6Nd3 at its relaxed geometry.

Unit cell a=7.1375 b=7.1375 c=7.1375 alpha=90.60 beta=90.60 gamma=90.60
Fractional coordinates of all 10 atoms:
Ac  0.0000  0.0000  0.0000
Pm  0.0000  0.3362  0.6638
Pm  0.1726  0.8274  0.5000
Pm  0.3362  0.6638  0.0000
Pm  0.5000  0.1726  0.8274
Pm  0.6638  0.0000  0.3362
Pm  0.8274  0.5000  0.1726
Nd  0.2601  0.2601  0.2601
Nd  0.5000  0.5000  0.5000
Nd  0.7399  0.7399  0.7399

Summary:
ΔH_f (0 K)   0.277 eV/atom

***

(5)
Density functional theory data (GGA-PBE) for crystalline Ca2CuOs at its relaxed geometry.

Unit cell a=11.0208 b=3.0062 c=5.2639 alpha=90.00 beta=106.34 gamma=90.00
Fractional coordinates of all 8 atoms:
Ca  0.0000  0.0000  0.0000
Ca  0.1933  0.0000  0.6238
Ca  0.5000  0.5000  0.0000
Ca  0.6933  0.5000  0.6238
Cu  0.2657  0.5000  0.1784
Cu  0.7657  0.0000  0.1784
Os  0.4367  0.0000  0.4669
Os  0.9367  0.5000  0.4669

Summary:
ΔH_f (0 K)   0.293 eV/atom

***

(6)
Density functional theory data (GGA-PBE) for crystalline Cd2Sn2O7 at its relaxed geometry.

Unit cell a=7.4811 b=7.4811 c=7.4811 alpha=60.00 beta=60.00 gamma=60.00
Fractional coordinates of all 22 atoms:
Cd  0.0000  0.0000  0.0000
Cd  0.0000  0.0000  0.5000
Cd  0.0000  0.5000  0.0000
Cd  0.5000  0.0000  0.0000
Sn  0.0000  0.5000  0.5000
Sn  0.5000  0.0000  0.5000
Sn  0.5000  0.5000  0.0000
Sn  0.5000  0.5000  0.5000
O  0.1250  0.1250  0.1250
O  0.1661  0.1661  0.5839
O  0.1661  0.5839  0.1661
O  0.1661  0.5839  0.5839
O  0.4161  0.4161  0.8339
O  0.4161  0.8339  0.4161
O  0.4161  0.8339  0.8339
O  0.5839  0.1661  0.1661
O  0.5839  0.1661  0.5839
O  0.5839  0.5839  0.1661
O  0.8339  0.4161  0.4161
O  0.8339  0.4161  0.8339
O  0.8339  0.8339  0.4161
O  0.8750  0.8750  0.8750

Summary:
Formation energy without anion corrections   -1.09 eV per atom

***

(7)
Density functional theory data (GGA-PBE) for crystalline CrRe2Hg at its relaxed geometry.

Unit cell a=2.8508 b=2.8508 c=7.6648 alpha=90.00 beta=90.00 gamma=90.00
Fractional coordinates of all 4 atoms:
Cr  0.0000  0.0000  0.0000
Re  0.5000  0.5000  0.2063
Re  0.5000  0.5000  0.7937
Hg  0.0000  0.0000  0.5000

Summary:
ΔH_f (0 K)   0.519 eV/atom

***

(8)
Density functional theory data (GGA-PBE) for crystalline K2ReGeO6 at its relaxed geometry.

Unit cell a=5.4985 b=5.4985 c=5.4985 alpha=60.00 beta=60.00 gamma=60.00
Fractional coordinates of all 10 atoms:
K  0.2500  0.2500  0.2500
K  0.7500  0.7500  0.7500
Re  0.0000  0.0000  0.0000
Ge  0.5000  0.5000  0.5000
O  0.2505  0.2505  0.7495
O  0.2505  0.7495  0.2505
O  0.2505  0.7495  0.7495
O  0.7495  0.2505  0.2505
O  0.7495  0.2505  0.7495
O  0.7495  0.7495  0.2505

Summary:
Formation energy without anion corrections   -1.55 eV per atom

***

(9)
Density functional theory data (GGA-PBE) for crystalline ErMnAlSi2 at its relaxed geometry.

Unit cell a=3.8441 b=3.8441 c=10.9168 alpha=90.00 beta=90.00 gamma=90.00
Fractional coordinates of all 10 atoms:
Er  0.0000  0.0000  0.0000
Er  0.5000  0.5000  0.5000
Mn  0.0000  0.5000  0.7500
Mn  0.5000  0.0000  0.2500
Al  0.0000  0.5000  0.2500
Al  0.5000  0.0000  0.7500
Si  0.0000  0.0000  0.3913
Si  0.0000  0.0000  0.6087
Si  0.5000  0.5000  0.1087
Si  0.5000  0.5000  0.8913

Summary:
Formation energy without anion corrections   -0.53 eV per atom

***

(10)
Density functional theory data (GGA-PBE) for crystalline RbCoGeIr2 at its relaxed geometry.

Unit cell a=4.7277 b=4.7277 c=4.7296 alpha=90.00 beta=90.00 gamma=90.00
Fractional coordinates of all 5 atoms:
Rb  0.0000  0.0000  0.0000
Co  0.5000  0.5000  0.0000
Ge  0.5000  0.5000  0.5000
Ir  0.0000  0.5000  0.5000
Ir  0.5000  0.0000  0.5000

Summary:
ΔH_f (0 K)   1.000 eV/atom

***

(11)
Density functional theory data (GGA-PBE) for crystalline La2PmScS4 at its relaxed geometry.

Unit cell a=6.9544 b=3.9739 c=7.0111 alpha=90.00 beta=108.94 gamma=90.00
Fractional coordinates of all 8 atoms:
La  0.0000  0.0000  0.0000
La  0.5000  0.5000  0.0000
Pm  0.0000  0.5000  0.5000
Sc  0.5000  0.0000  0.5000
S  0.2573  0.0000  0.7320
S  0.2719  0.5000  0.2767
S  0.7281  0.5000  0.7233
S  0.7427  0.0000  0.2680

Summary:
Formation energy without anion corrections   -2.03 eV per atom

***

(12)
Density functional theory data (GGA-PBE) for crystalline BeCo4Tc at its relaxed geometry.

Unit cell a=4.5603 b=4.5603 c=4.5603 alpha=60.00 beta=60.00 gamma=60.00
Fractional coordinates of all 6 atoms:
Be  0.0000  0.0000  0.0000
Co  0.1223  0.6259  0.6259
Co  0.6259  0.1223  0.6259
Co  0.6259  0.6259  0.1223
Co  0.6259  0.6259  0.6259
Tc  0.2500  0.2500  0.2500

Summary:
ΔH_f (0 K)   0.228 eV/atom

***

(13)
Density functional theory data (GGA-PBE) for crystalline ZrNp2B2Ru5 at its relaxed geometry.

Unit cell a=9.8275 b=9.8275 c=3.1082 alpha=90.00 beta=90.00 gamma=90.00
Fractional coordinates of all 20 atoms:
Zr  0.0000  0.0000  0.0000
Zr  0.5000  0.5000  0.0000
Np  0.1774  0.3226  0.0000
Np  0.3226  0.8226  0.0000
Np  0.6774  0.1774  0.0000
Np  0.8226  0.6774  0.0000
B  0.1197  0.6197  0.0000
B  0.3803  0.1197  0.0000
B  0.6197  0.8803  0.0000
B  0.8803  0.3803  0.0000
Ru  0.0000  0.5000  0.5000
Ru  0.0706  0.7752  0.5000
Ru  0.2248  0.0706  0.5000
Ru  0.2752  0.5706  0.5000
Ru  0.4294  0.2752  0.5000
Ru  0.5000  0.0000  0.5000
Ru  0.5706  0.7248  0.5000
Ru  0.7248  0.4294  0.5000
Ru  0.7752  0.9294  0.5000
Ru  0.9294  0.2248  0.5000

Summary:
ΔH_f (0 K)   -0.351 eV/atom

***

(14)
Density functional theory data (GGA-PBE) for crystalline Tb3YTm at its relaxed geometry.

Unit cell a=6.2701 b=6.7061 c=9.1937 alpha=72.23 beta=89.97 gamma=62.17
Fractional coordinates of all 10 atoms:
Tb  0.0682  0.1978  0.0499
Tb  0.2679  0.7990  0.4494
Tb  0.3322  0.9990  0.7507
Tb  0.6678  0.0010  0.2493
Tb  0.7321  0.2010  0.5506
Tb  0.9318  0.8022  0.9501
Y  0.1344  0.4001  0.3485
Y  0.8656  0.5999  0.6515
Tm  0.4643  0.4005  0.8513
Tm  0.5357  0.5995  0.1487

Summary:
ΔH_f (0 K)   0.007 eV/atom

***

(15)
Density functional theory data (GGA-PBE) for crystalline Cs2Cd4Ir at its relaxed geometry.

Unit cell a=5.4061 b=5.4061 c=19.4419 alpha=90.00 beta=90.00 gamma=90.00
Fractional coordinates of all 14 atoms:
Cs  0.0000  0.0000  0.1521
Cs  0.0000  0.0000  0.8479
Cs  0.5000  0.5000  0.3479
Cs  0.5000  0.5000  0.6521
Cd  0.0000  0.0000  0.3649
Cd  0.0000  0.0000  0.6351
Cd  0.0000  0.5000  0.0000
Cd  0.0000  0.5000  0.5000
Cd  0.5000  0.0000  0.0000
Cd  0.5000  0.0000  0.5000
Cd  0.5000  0.5000  0.1351
Cd  0.5000  0.5000  0.8649
Ir  0.0000  0.0000  0.5000
Ir  0.5000  0.5000  0.0000

Summary:
ΔH_f (0 K)   0.005 eV/atom

***

(16)
Density functional theory data (GGA-PBE) for crystalline SrAs2Pt5 at its relaxed geometry.

Unit cell a=4.1675 b=7.2418 c=9.8242 alpha=90.00 beta=90.00 gamma=90.00
Fractional coordinates of all 16 atoms:
Sr  0.0000  0.0000  0.0000
Sr  0.5000  0.5000  0.5000
As  0.0000  0.5000  0.2503
As  0.0000  0.5000  0.7497
As  0.5000  0.0000  0.2497
As  0.5000  0.0000  0.7503
Pt  0.0000  0.1974  0.3547
Pt  0.0000  0.1974  0.6453
Pt  0.0000  0.5000  0.0000
Pt  0.0000  0.8026  0.3547
Pt  0.0000  0.8026  0.6453
Pt  0.5000  0.0000  0.5000
Pt  0.5000  0.3026  0.1453
Pt  0.5000  0.3026  0.8547
Pt  0.5000  0.6974  0.1453
Pt  0.5000  0.6974  0.8547

Summary:
ΔH_f (0 K)   -0.506 eV/atom

***

(17)
Density functional theory data (GGA-PBE) for crystalline Ce2AlGa at its relaxed geometry.

Unit cell a=6.2338 b=8.7424 c=6.6856 alpha=90.00 beta=90.00 gamma=90.00
Fractional coordinates of all 16 atoms:
Ce  0.2500  0.0251  0.2500
Ce  0.2500  0.4749  0.2500
Ce  0.2500  0.5251  0.7500
Ce  0.2500  0.9749  0.7500
Ce  0.7500  0.0251  0.2500
Ce  0.7500  0.4749  0.2500
Ce  0.7500  0.5251  0.7500
Ce  0.7500  0.9749  0.7500
Al  0.0000  0.2500  0.5456
Al  0.0000  0.7500  0.4544
Al  0.5000  0.2500  0.9544
Al  0.5000  0.7500  0.0456
Ga  0.0000  0.2500  0.9567
Ga  0.0000  0.7500  0.0433
Ga  0.5000  0.2500  0.5433
Ga  0.5000  0.7500  0.4567

Summary:
ΔH_f (0 K)   -0.410 eV/atom

***

(18)
Density functional theory data (GGA-PBE) for crystalline TiNb2Ir at its relaxed geometry.

Unit cell a=7.4440 b=7.4440 c=5.2976 alpha=90.00 beta=90.00 gamma=90.00
Fractional coordinates of all 16 atoms:
Ti  0.0000  0.0000  0.0000
Ti  0.0000  0.5000  0.2500
Ti  0.5000  0.0000  0.7500
Ti  0.5000  0.5000  0.5000
Nb  0.2249  0.2500  0.6250
Nb  0.2500  0.7249  0.8750
Nb  0.2500  0.7751  0.3750
Nb  0.2751  0.2500  0.1250
Nb  0.7249  0.7500  0.1250
Nb  0.7500  0.2249  0.3750
Nb  0.7500  0.2751  0.8750
Nb  0.7751  0.7500  0.6250
Ir  0.0000  0.0000  0.5000
Ir  0.0000  0.5000  0.7500
Ir  0.5000  0.0000  0.2500
Ir  0.5000  0.5000  0.0000

Summary:
ΔH_f (0 K)   0.132 eV/atom

***

(19)
Density functional theory data (GGA-PBE) for crystalline Dy3Tm4Zr at its relaxed geometry.

Unit cell a=22.5300 b=3.3705 c=6.6029 alpha=90.00 beta=107.01 gamma=90.00
Fractional coordinates of all 16 atoms:
Dy  0.0000  0.0000  0.0000
Dy  0.1208  0.0000  0.3830
Dy  0.3792  0.5000  0.6170
Dy  0.5000  0.5000  0.0000
Dy  0.6208  0.5000  0.3830
Dy  0.8792  0.0000  0.6170
Tm  0.1205  0.0000  0.8549
Tm  0.2408  0.5000  0.7431
Tm  0.2592  0.0000  0.2569
Tm  0.3795  0.5000  0.1451
Tm  0.6205  0.5000  0.8549
Tm  0.7408  0.0000  0.7431
Tm  0.7592  0.5000  0.2569
Tm  0.8795  0.0000  0.1451
Zr  0.0000  0.5000  0.5000
Zr  0.5000  0.0000  0.5000

Summary:
ΔH_f (0 K)   0.202 eV/atom

***

(20)
Density functional theory data (GGA-PBE) for crystalline Ba3Li2In7 at its relaxed geometry.

Unit cell a=10.6063 b=10.6063 c=10.6063 alpha=34.98 beta=34.98 gamma=34.98
Fractional coordinates of all 12 atoms:
Ba  0.0000  0.0000  0.0000
Ba  0.1412  0.1412  0.1412
Ba  0.8588  0.8588  0.8588
Li  0.3355  0.3355  0.3355
Li  0.6645  0.6645  0.6645
In  0.0721  0.5807  0.5807
In  0.4193  0.4193  0.9279
In  0.4193  0.9279  0.4193
In  0.5000  0.5000  0.5000
In  0.5807  0.0721  0.5807
In  0.5807  0.5807  0.0721
In  0.9279  0.4193  0.4193

Summary:
ΔH_f (0 K)   -0.407 eV/atom

***

(21)
Density functional theory data (GGA-PBE) for crystalline Zr2BePb2 at its relaxed geometry.

Unit cell a=6.9846 b=6.9846 c=4.6976 alpha=90.00 beta=90.00 gamma=90.00
Fractional coordinates of all 10 atoms:
Zr  0.1646  0.3354  0.0000
Zr  0.3354  0.8354  0.0000
Zr  0.6646  0.1646  0.0000
Zr  0.8354  0.6646  0.0000
Be  0.0000  0.0000  0.0000
Be  0.5000  0.5000  0.0000
Pb  0.1580  0.6580  0.5000
Pb  0.3420  0.1580  0.5000
Pb  0.6580  0.8420  0.5000
Pb  0.8420  0.3420  0.5000

Summary:
ΔH_f (0 K)   0.106 eV/atom

***

(22)
Density functional theory data (GGA-PBE) for crystalline ZrMo2Br at its relaxed geometry.

Unit cell a=3.2930 b=5.0923 c=8.9847 alpha=90.00 beta=90.00 gamma=90.00
Fractional coordinates of all 8 atoms:
Zr  0.0000  0.0000  0.0000
Zr  0.5000  0.5000  0.0000
Mo  0.0000  0.5000  0.2478
Mo  0.0000  0.5000  0.7522
Mo  0.5000  0.0000  0.2478
Mo  0.5000  0.0000  0.7522
Br  0.0000  0.0000  0.5000
Br  0.5000  0.5000  0.5000

Summary:
Formation energy without anion corrections   0.55 eV per atom

***

(23)
Density functional theory data (GGA-PBE) for crystalline AlOF2 at its relaxed geometry.

Unit cell a=3.0583 b=3.0583 c=24.6714 alpha=90.00 beta=90.00 gamma=120.00
Fractional coordinates of all 12 atoms:
Al  0.0000  0.0000  0.0000
Al  0.3333  0.6667  0.6667
Al  0.6667  0.3333  0.3333
O  0.0000  0.0000  0.5000
O  0.3333  0.6667  0.1667
O  0.6667  0.3333  0.8333
F  0.0000  0.0000  0.0673
F  0.0000  0.0000  0.9327
F  0.3333  0.6667  0.5993
F  0.3333  0.6667  0.7340
F  0.6667  0.3333  0.2660
F  0.6667  0.3333  0.4007

Summary:
Formation energy without anion corrections   -0.84 eV per atom

***

(24)
Density functional theory data (GGA-PBE) for crystalline BaPd2Pb8 at its relaxed geometry.

Unit cell a=6.7569 b=6.7569 c=8.7687 alpha=90.00 beta=90.00 gamma=90.00
Fractional coordinates of all 11 atoms:
Ba  0.0000  0.0000  0.0000
Pd  0.0000  0.5000  0.5000
Pd  0.5000  0.0000  0.5000
Pb  0.2533  0.2533  0.3130
Pb  0.2533  0.2533  0.6870
Pb  0.2533  0.7467  0.3130
Pb  0.2533  0.7467  0.6870
Pb  0.7467  0.2533  0.3130
Pb  0.7467  0.2533  0.6870
Pb  0.7467  0.7467  0.3130
Pb  0.7467  0.7467  0.6870

Summary:
ΔH_f (0 K)   -0.090 eV/atom

***

Calculated V, 551, 338, 107, 364, 167, 296, 62, 118, 161, 106, 183, 67, 300, 321, 568, 296, 364, 294, 479, 350, 229, 151, 200, 400 Å³ per cell (same order as the records).
Calculated density of states at the Fermi level, 23.55, 4.81, 2.02, 20.95, 7.55, 17.91, 3.52, 3.10, 7.81, 5.64, 4.99, 8.77, 27.95, 18.19, 4.19, 10.62, 26.87, 21.96, 26.24, 4.98, 7.58, 8.22, 6.95, 6.25 states/eV per cell (same order as the records).